Entry 1:
# MgTaIr2 GGA-PBE relaxed
# ΔH_f (0 K) in meV/atom: -605
# E above lowest polymorph in meV per atom: 0
data_MgTaIr2
_cell_length_a 4.2476
_cell_length_b 4.2476
_cell_length_c 6.9652
_cell_angle_alpha 90.00
_cell_angle_beta 90.00
_cell_angle_gamma 90.00
_space_group_name_H-M_alt 'I 4/m m m'
_space_group_IT_number 139
_space_group_name_Hall '-I 4 2'
loop_
_atom_site_label
_atom_site_fract_x
_atom_site_fract_y
_atom_site_fract_z
Mg1 0.0000 0.0000 0.0000
Ta1 0.0000 0.0000 0.5000
Ir1 0.0000 0.5000 0.2500

---

Entry 2:
# ScPIO2 GGA-PBE relaxed
# Formation energy without anion corrections in eV/atom: -0.923
# E above lowest polymorph in meV per atom: 0
data_ScPIO2
_cell_length_a 4.0080
_cell_length_b 4.0080
_cell_length_c 6.1415
_cell_angle_alpha 90.00
_cell_angle_beta 90.00
_cell_angle_gamma 90.00
_space_group_name_H-M_alt 'P 4/m m m'
_space_group_IT_number 123
_space_group_name_Hall '-P 4 2'
loop_
_atom_site_label
_atom_site_fract_x
_atom_site_fract_y
_atom_site_fract_z
Sc1 0.0000 0.0000 0.0000
P1 0.0000 0.0000 0.5000
I1 0.5000 0.5000 0.5000
O1 0.0000 0.5000 0.0000

---

Entry 3:
# RbMn2PbBr8 GGA-PBE relaxed
# Formation energy without anion corrections in eV/atom: -0.903
data_RbMn2PbBr8
_cell_length_a 7.0993
_cell_length_b 7.0993
_cell_length_c 10.1468
_cell_angle_alpha 90.00
_cell_angle_beta 90.00
_cell_angle_gamma 120.00
_space_group_name_H-M_alt 'P -3'
_space_group_IT_number 147
_space_group_name_Hall '-P 3'
loop_
_atom_site_label
_atom_site_fract_x
_atom_site_fract_y
_atom_site_fract_z
Rb1 0.0000 0.0000 0.0000
Mn1 0.3333 0.6667 0.7511
Pb1 0.0000 0.0000 0.5000
Br1 0.0011 0.6670 0.3134
Br2 0.3333 0.6667 0.9861

---

Entry 4:
# KCeHg17 GGA-PBE relaxed
# ΔH_f (0 K) in meV/atom: -95
data_KCeHg17
_cell_length_a 10.0516
_cell_length_b 10.0516
_cell_length_c 18.2127
_cell_angle_alpha 90.00
_cell_angle_beta 90.00
_cell_angle_gamma 120.00
_space_group_name_H-M_alt 'R 3 m'
_space_group_IT_number 160
_space_group_name_Hall 'R 3 -2"'
loop_
_atom_site_label
_atom_site_fract_x
_atom_site_fract_y
_atom_site_fract_z
K1 0.0000 0.0000 0.0000
Ce1 0.0000 0.0000 0.3186
Hg1 0.0000 0.0000 0.5288
Hg2 0.0000 0.0000 0.6978
Hg3 0.0280 0.3591 0.3049
Hg4 0.1875 0.3750 0.1051
Hg5 0.2131 0.4263 0.4908
Hg6 0.2152 0.4304 0.8394

---

Entry 5:
# Nd4BiB3Rh12 GGA-PBE relaxed
# ΔH_f (0 K) in meV/atom: -478
data_Nd4BiB3Rh12
_cell_length_a 8.8663
_cell_length_b 8.8663
_cell_length_c 8.8663
_cell_angle_alpha 90.00
_cell_angle_beta 90.00
_cell_angle_gamma 90.00
_space_group_name_H-M_alt 'I m -3 m'
_space_group_IT_number 229
_space_group_name_Hall '-I 4 2 3'
loop_
_atom_site_label
_atom_site_fract_x
_atom_site_fract_y
_atom_site_fract_z
Nd1 0.2500 0.2500 0.2500
Bi1 0.0000 0.0000 0.0000
B1 0.0000 0.0000 0.5000
Rh1 0.0000 0.0000 0.2827
Rh2 0.0000 0.2500 0.5000

---

Entry 6:
# MoAs2Au GGA-PBE relaxed
# ΔH_f (0 K) in meV/atom: 53
# E above lowest polymorph in meV per atom: 20
data_MoAs2Au
_cell_length_a 3.1784
_cell_length_b 3.1784
_cell_length_c 24.5533
_cell_angle_alpha 90.00
_cell_angle_beta 90.00
_cell_angle_gamma 120.00
_space_group_name_H-M_alt 'R -3 m'
_space_group_IT_number 166
_space_group_name_Hall '-R 3 2"'
loop_
_atom_site_label
_atom_site_fract_x
_atom_site_fract_y
_atom_site_fract_z
Mo1 0.0000 0.0000 0.0000
As1 0.0000 0.0000 0.2590
Au1 0.0000 0.0000 0.5000

---

Entry 7:
# Pm2Pr7 GGA-PBE relaxed
# ΔH_f (0 K) in meV/atom: 11
# E above lowest polymorph in meV per atom: 0
data_Pm2Pr7
_cell_length_a 6.4183
_cell_length_b 6.4183
_cell_length_c 9.0323
_cell_angle_alpha 90.00
_cell_angle_beta 90.00
_cell_angle_gamma 120.00
_space_group_name_H-M_alt 'P -3 1 m'
_space_group_IT_number 162
_space_group_name_Hall '-P 3 2'
loop_
_atom_site_label
_atom_site_fract_x
_atom_site_fract_y
_atom_site_fract_z
Pm1 0.3333 0.6667 0.0000
Pr1 0.0000 0.0000 0.0000
Pr2 0.0000 0.3336 0.6680

---

Entry 8:
# SrCe2Th GGA-PBE relaxed
# ΔH_f (0 K) in meV/atom: 270
data_SrCe2Th
_cell_length_a 3.5435
_cell_length_b 3.5435
_cell_length_c 37.9806
_cell_angle_alpha 90.00
_cell_angle_beta 90.00
_cell_angle_gamma 120.00
_space_group_name_H-M_alt 'R -3 m'
_space_group_IT_number 166
_space_group_name_Hall '-R 3 2"'
loop_
_atom_site_label
_atom_site_fract_x
_atom_site_fract_y
_atom_site_fract_z
Sr1 0.0000 0.0000 0.0000
Ce1 0.0000 0.0000 0.0930
Th1 0.0000 0.0000 0.5000

---

Entry 9:
# Cs6TlPt GGA-PBE relaxed
# ΔH_f (0 K) in meV/atom: -56
data_Cs6TlPt
_cell_length_a 4.8934
_cell_length_b 15.0182
_cell_length_c 16.6511
_cell_angle_alpha 90.00
_cell_angle_beta 90.00
_cell_angle_gamma 90.00
_space_group_name_H-M_alt 'A m m 2'
_space_group_IT_number 38
_space_group_name_Hall 'A 2 -2'
loop_
_atom_site_label
_atom_site_fract_x
_atom_site_fract_y
_atom_site_fract_z
Cs1 0.0000 0.0000 0.0000
Cs2 0.0000 0.1394 0.7055
Cs3 0.5000 0.0000 0.2779
Cs4 0.5000 0.1988 0.4751
Tl1 0.0000 0.0000 0.5011
Pt1 0.5000 0.0000 0.5825

---

Entry 10:
# Rb2Sn2Hg GGA-PBE relaxed
# ΔH_f (0 K) in meV/atom: -43
# E above lowest polymorph in meV per atom: 89
data_Rb2Sn2Hg
_cell_length_a 10.7411
_cell_length_b 10.7411
_cell_length_c 3.7814
_cell_angle_alpha 90.00
_cell_angle_beta 90.00
_cell_angle_gamma 90.00
_space_group_name_H-M_alt 'P 4/m b m'
_space_group_IT_number 127
_space_group_name_Hall '-P 4 2ab'
loop_
_atom_site_label
_atom_site_fract_x
_atom_site_fract_y
_atom_site_fract_z
Rb1 0.2024 0.2976 0.0000
Sn1 0.0908 0.5908 0.5000
Hg1 0.0000 0.0000 0.5000

---

Entry 11:
# Zr4RhN2 GGA-PBE relaxed
# Formation energy without anion corrections in eV/atom: -1.232
data_Zr4RhN2
_cell_length_a 3.3336
_cell_length_b 11.1709
_cell_length_c 11.8880
_cell_angle_alpha 90.00
_cell_angle_beta 90.00
_cell_angle_gamma 90.00
_space_group_name_H-M_alt 'C m c m'
_space_group_IT_number 63
_space_group_name_Hall '-C 2c 2'
loop_
_atom_site_label
_atom_site_fract_x
_atom_site_fract_y
_atom_site_fract_z
Zr1 0.0000 0.0000 0.0000
Zr2 0.0000 0.2666 0.1073
Zr3 0.0000 0.4266 0.7500
Rh1 0.0000 0.1092 0.7500
N1 0.0000 0.3668 0.5598

---

Entry 12:
# ErTmUO6 GGA-PBE relaxed
# Formation energy without anion corrections in eV/atom: -3.369
data_ErTmUO6
_cell_length_a 5.7119
_cell_length_b 5.7119
_cell_length_c 9.2679
_cell_angle_alpha 90.00
_cell_angle_beta 90.00
_cell_angle_gamma 120.00
_space_group_name_H-M_alt 'P -3 1 c'
_space_group_IT_number 163
_space_group_name_Hall '-P 3 2c'
loop_
_atom_site_label
_atom_site_fract_x
_atom_site_fract_y
_atom_site_fract_z
Er1 0.3333 0.6667 0.2500
Tm1 0.0000 0.0000 0.0000
U1 0.3333 0.6667 0.7500
O1 0.0202 0.3501 0.6329